(1)
Co2ReHg after structural relaxation. Source: Alexandria, functional PBE.

Values from the calculation:
Calculated volume ... 58.8 Å³/cell
Uncorrected energy ... -24.93 eV/f.u.
ΔE_f ... 0.507 eV/atom
Magnetic moment ... 3.13 μB/f.u.

Cell and atoms, written as CIF:
```
data_Co2ReHg
_space_group_name_H-M_alt 'P 1'
_space_group_IT_number 1
_cell_length_a 8.995
_cell_length_b 8.995
_cell_length_c 8.995
_cell_angle_alpha 17.72
_cell_angle_beta 17.72
_cell_angle_gamma 17.72
loop_
_space_group_symop_operation_xyz
'x,y,z'
loop_
_atom_site_label
_atom_site_fract_x
_atom_site_fract_y
_atom_site_fract_z
Co1 0.260 0.260 0.260
Co2 0.997 0.997 0.997
Hg1 0.504 0.504 0.504
Re1 0.739 0.739 0.739
```

---

(2)
Be2TlBr after structural relaxation. Source: Alexandria, functional PBE.

Values from the calculation:
ΔE_f (raw) ... 1.053 eV per atom
Calculated volume ... 81.1 Å³/cell
Uncorrected energy ... -7.28 eV/f.u.
E above lowest polymorph ... 723 meV per atom
Magnetic moment ... 0.00 μB/f.u.

Cell and atoms, written as CIF:
```
data_Be2TlBr
_space_group_name_H-M_alt 'P 1'
_space_group_IT_number 1
_cell_length_a 4.859
_cell_length_b 4.859
_cell_length_c 4.859
_cell_angle_alpha 60.00
_cell_angle_beta 60.00
_cell_angle_gamma 60.00
loop_
_space_group_symop_operation_xyz
'x,y,z'
loop_
_atom_site_label
_atom_site_fract_x
_atom_site_fract_y
_atom_site_fract_z
Tl1 0.500 0.500 0.500
Be1 0.750 0.750 0.750
Be2 0.250 0.250 0.250
Br1 0.000 0.000 0.000
```

---

(3)
Zr2CuBr after structural relaxation. Source: Alexandria, functional PBE.

Values from the calculation:
ΔE_f (raw) ... -0.049 eV per atom
Calculated volume ... 75.9 Å³/cell
Uncorrected energy ... -23.06 eV/f.u.
E above lowest polymorph ... 150 meV per atom
Magnetic moment ... 0.00 μB/f.u.

Cell and atoms, written as CIF:
```
data_Zr2CuBr
_space_group_name_H-M_alt 'P 1'
_space_group_IT_number 1
_cell_length_a 4.889
_cell_length_b 4.889
_cell_length_c 3.205
_cell_angle_alpha 90.00
_cell_angle_beta 90.00
_cell_angle_gamma 98.05
loop_
_space_group_symop_operation_xyz
'x,y,z'
loop_
_atom_site_label
_atom_site_fract_x
_atom_site_fract_y
_atom_site_fract_z
Cu1 0.000 0.500 0.500
Br1 0.500 0.000 0.500
Zr1 0.500 0.500 0.000
Zr2 0.000 0.000 0.000
```

---

(4)
TbCe2As3 after structural relaxation. Source: Alexandria, functional PBE.

Values from the calculation:
Calculated volume ... 156.2 Å³/cell
Uncorrected energy ... -39.22 eV/f.u.
ΔE_f ... -1.462 eV/atom
Magnetic moment ... 1.37 μB/f.u.

Cell and atoms, written as CIF:
```
data_TbCe2As3
_space_group_name_H-M_alt 'P 1'
_space_group_IT_number 1
_cell_length_a 4.191
_cell_length_b 5.930
_cell_length_c 7.258
_cell_angle_alpha 114.11
_cell_angle_beta 106.78
_cell_angle_gamma 90.00
loop_
_space_group_symop_operation_xyz
'x,y,z'
loop_
_atom_site_label
_atom_site_fract_x
_atom_site_fract_y
_atom_site_fract_z
Tb1 0.500 0.500 0.500
Ce1 0.167 0.167 0.834
Ce2 0.833 0.833 0.166
As1 0.835 0.335 0.169
As2 0.500 0.000 0.500
As3 0.165 0.665 0.831
```

---

(5)
NaTiO3 after structural relaxation. Source: Alexandria, functional PBE.

Values from the calculation:
ΔE_f (raw) ... -2.269 eV per atom
Calculated volume ... 114.3 Å³/cell
Uncorrected energy ... -35.44 eV/f.u.
Magnetic moment ... 0.00 μB/f.u.

Cell and atoms, written as CIF:
```
data_NaTiO3
_space_group_name_H-M_alt 'P 1'
_space_group_IT_number 1
_cell_length_a 6.897
_cell_length_b 2.996
_cell_length_c 7.112
_cell_angle_alpha 105.48
_cell_angle_beta 125.78
_cell_angle_gamma 76.28
loop_
_space_group_symop_operation_xyz
'x,y,z'
loop_
_atom_site_label
_atom_site_fract_x
_atom_site_fract_y
_atom_site_fract_z
Ti1 0.334 0.920 0.930
Ti2 0.928 0.631 0.012
Na1 0.424 0.087 0.536
Na2 0.892 0.891 0.440
O1 0.610 0.698 0.861
O2 0.559 0.429 0.186
O3 0.010 0.225 0.228
O4 0.982 0.994 0.842
O5 0.370 0.374 0.215
O6 0.223 0.328 0.729
```

---

(6)
Sr3TaMn after structural relaxation. Source: Alexandria, functional PBE.

Values from the calculation:
Calculated volume ... 209.6 Å³/cell
Uncorrected energy ... -19.25 eV/f.u.
ΔE_f ... 1.364 eV/atom
Magnetic moment ... 5.21 μB/f.u.

Cell and atoms, written as CIF:
```
data_Sr3TaMn
_space_group_name_H-M_alt 'P 1'
_space_group_IT_number 1
_cell_length_a 5.940
_cell_length_b 5.940
_cell_length_c 5.940
_cell_angle_alpha 90.00
_cell_angle_beta 90.00
_cell_angle_gamma 90.00
loop_
_space_group_symop_operation_xyz
'x,y,z'
loop_
_atom_site_label
_atom_site_fract_x
_atom_site_fract_y
_atom_site_fract_z
Ta1 0.000 0.000 0.000
Sr1 0.000 0.000 0.500
Sr2 0.500 0.000 0.000
Sr3 0.000 0.500 0.000
Mn1 0.500 0.500 0.500
```

---

(7)
CaY2HoHg4 after structural relaxation. Source: Alexandria, functional PBE.

Values from the calculation:
Calculated volume ... 207.2 Å³/cell
Uncorrected energy ... -24.91 eV/f.u.
ΔE_f ... -0.524 eV/atom
Magnetic moment ... 0.00 μB/f.u.

Cell and atoms, written as CIF:
```
data_CaY2HoHg4
_space_group_name_H-M_alt 'P 1'
_space_group_IT_number 1
_cell_length_a 5.270
_cell_length_b 5.270
_cell_length_c 9.136
_cell_angle_alpha 73.24
_cell_angle_beta 73.24
_cell_angle_gamma 60.00
loop_
_space_group_symop_operation_xyz
'x,y,z'
loop_
_atom_site_label
_atom_site_fract_x
_atom_site_fract_y
_atom_site_fract_z
Y1 0.749 0.749 0.754
Y2 0.251 0.251 0.246
Ca1 0.000 0.000 0.000
Hg1 0.873 0.873 0.380
Hg2 0.623 0.623 0.130
Hg3 0.377 0.377 0.870
Hg4 0.127 0.127 0.620
Ho1 0.500 0.500 0.500
```

---

(8)
Ti6SnBi3 after structural relaxation. Source: Alexandria, functional PBE.

Values from the calculation:
Calculated volume ... 428.6 Å³/cell
Uncorrected energy ... -63.66 eV/f.u.
ΔE_f ... -0.064 eV/atom
Magnetic moment ... 0.00 μB/f.u.

Cell and atoms, written as CIF:
```
data_Ti6SnBi3
_space_group_name_H-M_alt 'P 1'
_space_group_IT_number 1
_cell_length_a 7.278
_cell_length_b 8.095
_cell_length_c 8.095
_cell_angle_alpha 116.02
_cell_angle_beta 90.00
_cell_angle_gamma 90.00
loop_
_space_group_symop_operation_xyz
'x,y,z'
loop_
_atom_site_label
_atom_site_fract_x
_atom_site_fract_y
_atom_site_fract_z
Bi1 0.983 0.120 0.305
Bi2 0.483 0.305 0.120
Bi3 0.983 0.695 0.880
Bi4 0.288 0.427 0.573
Bi5 0.483 0.880 0.695
Bi6 0.788 0.573 0.427
Ti1 0.300 0.562 0.007
Ti2 0.800 0.007 0.562
Ti3 0.111 0.791 0.601
Ti4 0.790 0.053 0.947
Ti5 0.300 0.993 0.438
Ti6 0.016 0.745 0.255
Ti7 0.290 0.947 0.053
Ti8 0.516 0.255 0.745
Ti9 0.800 0.438 0.993
Ti10 0.611 0.209 0.399
Ti11 0.111 0.399 0.209
Ti12 0.611 0.601 0.791
Sn1 0.102 0.185 0.815
Sn2 0.602 0.815 0.185
```

---

(9)
Ca2AgAs after structural relaxation. Source: Alexandria, functional PBE.

Values from the calculation:
Calculated volume ... 99.5 Å³/cell
Uncorrected energy ... -12.25 eV/f.u.
ΔE_f ... -0.187 eV/atom
Magnetic moment ... 0.00 μB/f.u.

Cell and atoms, written as CIF:
```
data_Ca2AgAs
_space_group_name_H-M_alt 'P 1'
_space_group_IT_number 1
_cell_length_a 5.201
_cell_length_b 5.201
_cell_length_c 5.201
_cell_angle_alpha 60.00
_cell_angle_beta 60.00
_cell_angle_gamma 60.00
loop_
_space_group_symop_operation_xyz
'x,y,z'
loop_
_atom_site_label
_atom_site_fract_x
_atom_site_fract_y
_atom_site_fract_z
As1 0.750 0.750 0.750
Ag1 0.500 0.500 0.500
Ca1 0.250 0.250 0.250
Ca2 0.000 0.000 0.000
```

---

(10)
ZnFeCl2 after structural relaxation. Source: Alexandria, functional PBE.

Values from the calculation:
ΔE_f (raw) ... -0.279 eV per atom
Calculated volume ... 86.2 Å³/cell
Uncorrected energy ... -14.55 eV/f.u.
E above lowest polymorph ... 81 meV per atom
Magnetic moment ... 2.40 μB/f.u.

Cell and atoms, written as CIF:
```
data_ZnFeCl2
_space_group_name_H-M_alt 'P 1'
_space_group_IT_number 1
_cell_length_a 3.270
_cell_length_b 3.694
_cell_length_c 7.379
_cell_angle_alpha 75.33
_cell_angle_beta 90.00
_cell_angle_gamma 90.00
loop_
_space_group_symop_operation_xyz
'x,y,z'
loop_
_atom_site_label
_atom_site_fract_x
_atom_site_fract_y
_atom_site_fract_z
Cl1 0.000 0.114 0.895
Cl2 0.500 0.391 0.347
Zn1 0.500 0.723 0.678
Fe1 0.000 0.272 0.581
```